No. 1
The following is a DFT calculation (PBE) of LiTePbAuS2 after structural relaxation.

Output
The value obtained for the final energy is -3.6517 eV per atom.

a = 7.4479 Å, b = 7.4479 Å, c = 11.4731 Å
α = 90.00°, β = 90.00°, γ = 150.73°
Closest atoms and distances in Å follow each position.
Element x y z (fractional)
Li 0.2346 0.7654 0.7500  2 Au 2.70, 2 Te 2.88
Li 0.7654 0.2346 0.2500  2 Au 2.70, 2 Te 2.88
Te 0.4165 0.5835 0.2500  2 Li 2.88, 2 Pb 3.11
Te 0.5835 0.4165 0.7500  2 Li 2.88, 2 Pb 3.11
Pb 0.5000 0.5000 0.0000  4 S 2.78
Pb 0.5000 0.5000 0.5000  4 S 2.78
Au 0.1310 0.8690 0.2500  2 S 2.30
Au 0.8690 0.1310 0.7500  2 S 2.30
S 0.1361 0.8639 0.0493  1 Au 2.30
S 0.1361 0.8639 0.4507  1 Au 2.30
S 0.8639 0.1361 0.5493  1 Au 2.30
S 0.8639 0.1361 0.9507  1 Au 2.30

No. 2
The following is a DFT calculation (PBE) of LaCdPO after structural relaxation.

Output
The value obtained for the final energy is -5.6100 eV per atom.

a = 5.0884 Å, b = 4.4175 Å, c = 6.9844 Å
α = 90.00°, β = 90.00°, γ = 90.00°
Closest atoms and distances in Å follow each position.
Element x y z (fractional)
La 0.0000 0.2073 0.0000  3 O 2.40-2.52
La 0.0000 0.7927 0.5000  3 O 2.40-2.52
Cd 0.5000 0.3256 0.3598  3 P 2.45-2.48, 2 O 2.55
Cd 0.5000 0.6744 0.8598  3 P 2.45-2.48, 2 O 2.55
P 0.5000 0.1786 0.7022  3 Cd 2.45-2.48
P 0.5000 0.8214 0.2022  3 Cd 2.45-2.48
O 0.0000 0.3032 0.3378  3 La 2.40-2.52, 2 Cd 2.55
O 0.0000 0.6968 0.8378  3 La 2.40-2.52, 2 Cd 2.55

No. 3
The following is a DFT calculation (PBE) of HfTcB after structural relaxation.

Output
The value obtained for the final energy is -7.8214 eV per atom.

a = 5.8982 Å, b = 5.8982 Å, c = 5.8982 Å
α = 90.00°, β = 90.00°, γ = 90.00°
Closest atoms and distances in Å follow each position.
Element x y z (fractional)
Hf 0.0000 0.0000 0.0000  4 Tc 2.55, 4 B 2.55
Hf 0.0000 0.5000 0.5000  4 Tc 2.55, 4 B 2.55
Hf 0.5000 0.0000 0.5000  4 Tc 2.55, 4 B 2.55
Hf 0.5000 0.5000 0.0000  4 Tc 2.55, 4 B 2.55
Tc 0.2500 0.2500 0.2500  4 Hf 2.55
Tc 0.2500 0.7500 0.7500  4 Hf 2.55
Tc 0.7500 0.2500 0.7500  4 Hf 2.55
Tc 0.7500 0.7500 0.2500  4 Hf 2.55
B 0.2500 0.2500 0.7500  4 Hf 2.55
B 0.2500 0.7500 0.2500  4 Hf 2.55
B 0.7500 0.2500 0.2500  4 Hf 2.55
B 0.7500 0.7500 0.7500  4 Hf 2.55

No. 4
The following is a DFT calculation (PBE) of TaCdAu2 after structural relaxation.

Output
As for the formation enthalpy at 0 K: 235 meV per atom.

a = 6.6378 Å, b = 6.6378 Å, c = 6.6378 Å
α = 90.00°, β = 90.00°, γ = 90.00°
Closest atoms and distances in Å follow each position.
Element x y z (fractional)
Ta 0.0000 0.0000 0.0000  4 Cd 2.87, 4 Au 2.87
Ta 0.0000 0.5000 0.5000  4 Cd 2.87, 4 Au 2.87
Ta 0.5000 0.0000 0.5000  4 Cd 2.87, 4 Au 2.87
Ta 0.5000 0.5000 0.0000  4 Cd 2.87, 4 Au 2.87
Cd 0.2500 0.2500 0.2500  4 Ta 2.87, 4 Au 2.87
Cd 0.2500 0.7500 0.7500  4 Ta 2.87, 4 Au 2.87
Cd 0.7500 0.2500 0.7500  4 Ta 2.87, 4 Au 2.87
Cd 0.7500 0.7500 0.2500  4 Ta 2.87, 4 Au 2.87
Au 0.0000 0.0000 0.5000  4 Cd 2.87, 4 Au 2.87
Au 0.0000 0.5000 0.0000  4 Cd 2.87, 4 Au 2.87
Au 0.2500 0.2500 0.7500  4 Ta 2.87, 4 Au 2.87
Au 0.2500 0.7500 0.2500  4 Ta 2.87, 4 Au 2.87
Au 0.5000 0.0000 0.0000  4 Cd 2.87, 4 Au 2.87
Au 0.5000 0.5000 0.5000  4 Cd 2.87, 4 Au 2.87
Au 0.7500 0.2500 0.2500  4 Ta 2.87, 4 Au 2.87
Au 0.7500 0.7500 0.7500  4 Ta 2.87, 4 Au 2.87